# RbCa2Mg2

A relaxed structure of RbCa2Mg2 (PBE-GGA, the Alexandria database).

Cell and atoms, written as POSCAR:
```
RbCa2Mg2
1.0
10.218 0.000 0.000
0.000 10.218 0.000
0.000 0.000 3.732
Ca Mg Rb
4 4 2
Direct
0.373 0.873 0.000 Ca
0.873 0.627 0.000 Ca
0.627 0.127 0.000 Ca
0.127 0.373 0.000 Ca
0.163 0.663 0.500 Mg
0.663 0.837 0.500 Mg
0.837 0.337 0.500 Mg
0.337 0.163 0.500 Mg
0.000 0.000 0.000 Rb
0.500 0.500 0.000 Rb
```

Computed properties:
Calculated total energy ... -7.65 eV per formula unit
Formation enthalpy at 0 K ... 0.10 eV/atom
Crystal system ... tetragonal
Distance to the lowest polymorph of the same formula ... 0.0 meV/atom
Total magnetic moment ... 0.00 μB per cell

=====

# Rb2Ca2Mg

A relaxed structure of Rb2Ca2Mg (PBE-GGA, the Alexandria database).

Cell and atoms, written as POSCAR:
```
Rb2Ca2Mg
1.0
-3.310 8.066 -1.103
-7.469 -3.483 -3.052
-2.639 -0.173 6.655
Ca Mg Rb
4 2 4
Direct
0.345 0.845 0.000 Ca
0.845 0.655 0.000 Ca
0.655 0.155 0.000 Ca
0.155 0.345 0.000 Ca
0.000 0.000 0.000 Mg
0.500 0.500 0.000 Mg
0.177 0.677 0.500 Rb
0.677 0.823 0.500 Rb
0.823 0.323 0.500 Rb
0.323 0.177 0.500 Rb
```

Computed properties:
Calculated total energy ... -6.24 eV per formula unit
Formation enthalpy at 0 K ... 0.26 eV/atom
Crystal system ... tetragonal
Total magnetic moment ... 0.00 μB per cell

=====

# RbCa3Mg

A relaxed structure of RbCa3Mg (PBE-GGA, the Alexandria database).

Cell and atoms, written as POSCAR:
```
RbCa3Mg
1.0
-3.105 -4.972 2.387
2.895 0.862 5.562
-4.694 3.821 1.851
Ca Mg Rb
3 1 1
Direct
0.000 0.500 0.000 Ca
0.000 0.000 0.500 Ca
0.500 0.000 0.000 Ca
0.000 0.000 0.000 Mg
0.500 0.500 0.500 Rb
```

Computed properties:
Calculated total energy ... -7.29 eV per formula unit
Formation enthalpy at 0 K ... 0.26 eV/atom
Crystal system ... cubic
Distance to the lowest polymorph of the same formula ... 0.0 meV/atom
Total magnetic moment ... 0.00 μB per cell

=====

# RbCa2Mg2

A relaxed structure of RbCa2Mg2 (PBE-GGA, the Alexandria database).

Cell and atoms, written as POSCAR:
```
RbCa2Mg2
1.0
4.217 0.000 0.000
0.000 4.217 0.000
2.109 2.109 12.574
Ca Mg Rb
2 2 1
Direct
0.360 0.360 0.279 Ca
0.640 0.640 0.721 Ca
0.750 0.250 0.500 Mg
0.250 0.750 0.500 Mg
0.000 0.000 0.000 Rb
```

Computed properties:
Calculated total energy ... -7.10 eV per formula unit
Formation enthalpy at 0 K ... 0.21 eV/atom
Crystal system ... tetragonal
Distance to the lowest polymorph of the same formula ... 108.7 meV/atom
Total magnetic moment ... 0.00 μB per cell